BaZn3Ru: relaxed, GGA-PBEsol.

```
BaZn3Ru
1.0
4.832 0.000 0.000
0.000 4.832 0.000
0.000 0.000 4.832
Ba Zn Ru
1 3 1
Cartesian
0.000 0.000 0.000
0.000 2.416 2.416
2.416 0.000 2.416
2.416 2.416 0.000
2.416 2.416 2.416
```

energy of formation from the pure elements: -0.30 eV/f.u.
crystal system: cubic